A plane-wave DFT calculation with PBE was carried out for an optimized crystal structure of Tc7Rh6.

Summary:
SG: R-3m (166)
DOS(E_F) (states/eV per cell): 14.5
Energy relative to the elements (eV per atom): 0.1192
Total magnetic moment (μB/atom): 0.000

a b c (Å): 9.3945 9.3945 9.3945
angles (deg): 30.96 30.96 30.96
Element x y z (fractional)
Tc 0.0000 0.0000 0.0000
Tc 0.0904 0.0904 0.5826
Tc 0.0904 0.5826 0.0904
Tc 0.4174 0.9096 0.9096
Tc 0.5826 0.0904 0.0904
Tc 0.9096 0.4174 0.9096
Tc 0.9096 0.9096 0.4174
Rh 0.1624 0.1624 0.1624
Rh 0.3508 0.3508 0.3508
Rh 0.4539 0.4539 0.4539
Rh 0.5461 0.5461 0.5461
Rh 0.6492 0.6492 0.6492
Rh 0.8376 0.8376 0.8376